No. 1
AgSbIO2: optimized geometry, GGA-PBE.

a = 4.0775 Å, b = 4.0775 Å, c = 6.7763 Å
α = 90.00°, β = 90.00°, γ = 90.00°
Sites, in units of the cell vectors:
Ag  0.0000  0.0000  0.0000
Sb  0.5000  0.5000  0.5000
I  0.5000  0.5000  0.0000
O  0.0000  0.5000  0.5000
O  0.5000  0.0000  0.5000

calculated total energy = -4.14 eV per atom
energy above the most stable polymorph in this dataset = 132 meV per atom
total magnetic moment = 0.00 μB per cell

=====

No. 2
AgSb2IO: optimized geometry, GGA-PBE.

a = 5.3714 Å, b = 5.3714 Å, c = 5.4596 Å
α = 90.00°, β = 90.00°, γ = 90.00°
Sites, in units of the cell vectors:
Ag  0.0000  0.0000  0.0000
Sb  0.0000  0.5000  0.0000
Sb  0.5000  0.0000  0.0000
I  0.0000  0.0000  0.5000
O  0.5000  0.5000  0.5000

calculated total energy = -2.45 eV per atom
energy above the most stable polymorph in this dataset = 946 meV per atom
total magnetic moment = 0.00 μB per cell

=====

No. 3
AgSbIO2: optimized geometry, GGA-PBE.

a = 7.5753 Å, b = 7.5753 Å, c = 5.4099 Å
α = 90.00°, β = 90.00°, γ = 135.62°
Sites, in units of the cell vectors:
Ag  0.1006  0.8994  0.7500
Ag  0.8994  0.1006  0.2500
Sb  0.4369  0.5631  0.7500
Sb  0.5631  0.4369  0.2500
I  0.2122  0.7878  0.2500
I  0.7878  0.2122  0.7500
O  0.2792  0.2792  0.0000
O  0.2792  0.2792  0.5000
O  0.7208  0.7208  0.0000
O  0.7208  0.7208  0.5000

calculated total energy = -4.28 eV per atom
energy above the most stable polymorph in this dataset = 0 meV per atom
total magnetic moment = 0.00 μB per cell

=====

No. 4
AgSb2IO: optimized geometry, GGA-PBE.

a = 4.4468 Å, b = 4.4468 Å, c = 7.4667 Å
α = 90.00°, β = 90.00°, γ = 90.00°
Sites, in units of the cell vectors:
Ag  0.0000  0.0000  0.0000
Sb  0.0000  0.5000  0.5000
Sb  0.5000  0.0000  0.5000
I  0.5000  0.5000  0.0000
O  0.5000  0.5000  0.5000

calculated total energy = -3.40 eV per atom
energy above the most stable polymorph in this dataset = 0 meV per atom
total magnetic moment = 0.00 μB per cell

=====

How do the records compare in formation energy from raw total energies? In the order shown, they have -0.457; 1.067; -0.589; 0.120 eV/atom.